1.
LaCdCu2I, PBEsol geometry, DFT SCAN; E_form (uncorrected) = 0.703 eV per atom; symmetry = P4/mmm; distance to the lowest polymorph of the same formula = 538.8 meV per atom
1.0
4.860 0.000 0.000
0.000 4.860 0.000
0.000 0.000 5.908
I Cd Cu La
1 1 2 1
direct
0.000 0.000 0.000
0.000 0.000 0.500
0.000 0.500 0.000
0.500 0.000 0.000
0.500 0.500 0.500

2.
CaMoRh2, PBEsol geometry, DFT SCAN; energy relative to the elements = 111 meV per atom; symmetry = Fm-3m; distance to the lowest polymorph of the same formula = 256.3 meV per atom
1.0
4.495 0.000 0.000
2.248 3.895 -0.001
2.248 1.299 3.671
Ca Mo Rh
1 1 2
direct
0.500 0.000 0.000
0.000 0.500 0.500
0.250 0.750 0.750
0.750 0.250 0.250

3.
InCoSe, PBEsol geometry, DFT SCAN; E_form (uncorrected) = 0.194 eV per atom; symmetry = F-43m
1.0
4.218 0.000 0.000
2.109 3.653 0.000
2.109 1.218 3.444
Co In Se
1 1 1
direct
0.250 0.250 0.250
0.000 0.000 0.000
0.500 0.500 0.500

4.
InIr2C2, PBEsol geometry, DFT SCAN; energy relative to the elements = 716 meV per atom; symmetry = I4/mmm
1.0
3.317 0.000 0.000
0.000 3.317 0.000
-1.659 -1.659 6.074
C Ir In
2 2 1
direct
0.250 0.750 0.500
0.750 0.250 0.500
0.346 0.346 0.691
0.654 0.654 0.309
0.000 0.000 0.000

5.
Li3CuPCO7, PBEsol geometry, DFT SCAN; E_form (uncorrected) = -2.051 eV per atom; symmetry = P2_1; distance to the lowest polymorph of the same formula = 0.0 meV per atom
1.0
5.015 0.000 0.015
0.000 6.164 0.000
-0.174 0.000 8.405
Li Cu P C O
6 2 2 2 14
direct
0.959 0.524 0.996
0.582 0.226 0.195
0.552 0.397 0.541
0.448 0.897 0.459
0.418 0.726 0.805
0.041 0.024 0.004
0.955 0.749 0.274
0.045 0.249 0.726
0.041 0.248 0.346
0.959 0.748 0.654
0.465 0.736 0.114
0.535 0.236 0.886
0.627 0.708 0.000
0.210 0.751 0.081
0.926 0.057 0.242
0.953 0.441 0.238
0.546 0.751 0.260
0.343 0.226 0.375
0.890 0.261 0.504
0.110 0.761 0.496
0.657 0.726 0.625
0.454 0.251 0.740
0.047 0.941 0.762
0.074 0.557 0.758
0.790 0.251 0.919
0.373 0.208 0.000

6.
TiCo2GeCl, PBEsol geometry, DFT SCAN; E_form (uncorrected) = 0.519 eV per atom; symmetry = P4/mmm
1.0
-1.844 0.333 -3.879
-1.517 -4.015 0.376
-4.122 1.755 2.110
Ge Cl Co Ti
1 1 2 1
direct
0.000 0.000 0.000
0.500 0.500 0.500
0.000 0.500 0.000
0.500 0.000 0.000
0.000 0.000 0.500

7.
ZnMo2Se, PBEsol geometry, DFT SCAN; E_form (uncorrected) = 0.427 eV per atom; symmetry = Immm; distance to the lowest polymorph of the same formula = 157.8 meV per atom
1.0
3.138 0.000 0.000
0.000 4.560 0.000
-1.569 -2.280 4.256
Mo Se Zn
2 1 1
direct
0.766 0.766 0.533
0.234 0.234 0.467
0.500 0.000 0.000
0.000 0.500 0.000

8.
YCuSe2, PBEsol geometry, DFT SCAN; E_form (uncorrected) = -1.252 eV per atom; symmetry = Pm
1.0
-2.897 -2.077 1.234
0.792 -2.829 -2.903
4.794 -1.557 2.824
Cu Se Y
1 2 1
direct
0.689 0.500 0.751
0.777 0.000 0.931
0.474 0.500 0.324
0.059 0.000 0.494

9.
FeCu2Pt, PBEsol geometry, DFT SCAN; energy relative to the elements = -23 meV per atom; symmetry = R-3m
1.0
-0.304 -2.211 1.362
2.087 -1.217 1.000
-0.195 3.348 7.901
Cu Fe Pt
2 1 1
direct
0.246 0.246 0.261
0.754 0.754 0.739
0.500 0.500 0.500
0.000 0.000 0.000

10.
K2InP, PBEsol geometry, DFT SCAN; energy relative to the elements = -271 meV per atom; symmetry = Cm; distance to the lowest polymorph of the same formula = 110.8 meV per atom
1.0
-0.120 2.760 3.244
-0.415 -4.178 0.741
9.666 0.933 -0.437
In K P
1 2 1
direct
0.779 0.559 0.333
0.036 0.072 0.081
0.207 0.414 0.646
0.478 0.956 0.439

11.
ZrSc2As2, PBEsol geometry, DFT SCAN; energy relative to the elements = -1194 meV per atom; symmetry = P4/mbm
1.0
3.672 0.000 0.000
0.000 7.177 0.000
0.000 0.000 7.177
Sc As Zr
4 4 2
direct
0.500 0.158 0.658
0.500 0.658 0.842
0.500 0.842 0.342
0.500 0.342 0.158
0.000 0.355 0.855
0.000 0.855 0.645
0.000 0.645 0.145
0.000 0.145 0.355
0.000 0.000 0.000
0.000 0.500 0.500

12.
ScHF2, PBEsol geometry, DFT SCAN; symmetry = Fm-3m; distance to the lowest polymorph of the same formula = 0.0 meV per atom
1.0
3.672 0.000 0.000
1.836 3.180 0.000
1.836 1.060 2.998
Sc H F
1 1 2
direct
0.500 0.500 0.500
0.000 0.000 0.000
0.250 0.250 0.250
0.750 0.750 0.750